A plane-wave DFT calculation with PBE was carried out for a geometry-optimized TlP2Cl structure.

The structure in CIF format:
```
data_TlP2Cl
_space_group_name_H-M_alt 'P 1'
_space_group_IT_number 1
_cell_length_a 3.353
_cell_length_b 7.313
_cell_length_c 5.128
_cell_angle_alpha 90.00
_cell_angle_beta 90.05
_cell_angle_gamma 90.00
loop_
_space_group_symop_operation_xyz
'x,y,z'
loop_
_atom_site_label
_atom_site_type_symbol
_atom_site_fract_x
_atom_site_fract_y
_atom_site_fract_z
Tl1 Tl 0.000 0.000 0.000
P1 P 0.241 0.500 0.367
P2 P 0.759 0.500 0.633
Cl1 Cl 0.500 0.000 0.500
```

## Properties
For the total moment, the calculation gives 0.00 Bohr magnetons per cell. The calculation puts the density of states at the Fermi level at 0.220 states/eV per atom. As for the crystal system: monoclinic. Its space group is No. 10. Its excess energy over the best structure of this formula in the dataset is 144.2 meV/atom. Its total DFT energy (no corrections) is -3.857 eV/atom.